This record from the Alexandria database describes Pu5As2P2 after structural relaxation. The functional is PBE-GGA.

## Properties
- N(E_F): 156.86 states/eV/cell
- E_form: -8.09 eV/f.u.
- E: -399.474 eV/cell

Cell: 14.6033 7.5317 7.5918 Å, 90.00 90.00 90.00°
Last column: nearest neighbours and their distance in Å.
Space group Cmce (No. 64)
Inequivalent atoms, fractional coordinates:
Pu 0.0000 0.0000 0.0000 x4  4 P 2.88-2.89, 2 As 2.93
Pu 0.1326 0.1565 0.3444 x16  3 P 2.86-3.01, 3 As 2.96-3.03
As 0.2003 0.0000 0.0000 x8  7 Pu 2.93-3.03
P 0.0000 0.1472 0.6479 x8  8 Pu 2.86-3.01, 1 P 3.16

This record from the Alexandria database describes PuAsP after structural relaxation. The functional is PBE-GGA.

## Properties
- N(E_F): 30.37 states/eV/cell
- E_form: -2.03 eV/f.u.
- ΔE to the lowest computed polymorph: 0.053 eV/atom
- E: -105.672 eV/cell

Cell: 9.1452 3.9693 7.2535 Å, 90.00 93.38 90.00°
Last column: nearest neighbours and their distance in Å.
Space group C2/m (No. 12)
Inequivalent atoms, fractional coordinates:
Pu 0.1059 0.0000 0.2959 x4  5 P 2.79-2.95, 4 As 3.05-3.07
As 0.2000 0.0000 0.8997 x4  2 As 2.60
P 0.0962 0.5000 0.5961 x4  1 P 2.18

Repeat the first record exactly.
This record from the Alexandria database describes Pu5As2P2 after structural relaxation. The functional is PBE-GGA.

## Properties
- N(E_F): 156.86 states/eV/cell
- E_form: -8.09 eV/f.u.
- E: -399.474 eV/cell

Cell: 14.6033 7.5317 7.5918 Å, 90.00 90.00 90.00°
Last column: nearest neighbours and their distance in Å.
Space group Cmce (No. 64)
Inequivalent atoms, fractional coordinates:
Pu 0.0000 0.0000 0.0000 x4  4 P 2.88-2.89, 2 As 2.93
Pu 0.1326 0.1565 0.3444 x16  3 P 2.86-3.01, 3 As 2.96-3.03
As 0.2003 0.0000 0.0000 x8  7 Pu 2.93-3.03
P 0.0000 0.1472 0.6479 x8  8 Pu 2.86-3.01, 1 P 3.16